Record 1
A plane-wave DFT calculation with PBE+U was carried out for a relaxed structure of CoAgO3.

Calculated values
The calculation puts the raw total energy at -4.031 eV/atom. As for the symmetry: Pm-3m (221).

Unit cell a=3.955 b=3.955 c=3.955 alpha=90.00 beta=90.00 gamma=90.00
Site moments in Bohr magnetons follow the coordinates.
Fractional positions:
Co 0.500 0.500 0.500  2.75
Ag 0.000 0.000 0.000  -0.01
O 0.000 0.500 0.000  0.14
O 0.500 0.000 0.000  0.14
O 0.000 0.000 0.500  0.06

=====

Record 2
A plane-wave DFT calculation with PBE+U was carried out for a relaxed structure of CoAgO2.

Calculated values
The calculation puts the raw total energy at -5.173 eV/atom. As for the symmetry: R-3m (166).

Unit cell a=6.378 b=6.378 c=6.378 alpha=26.01 beta=26.01 gamma=26.01
Fractional positions:
Co 0.500 0.500 0.500
Ag 0.000 0.000 0.000
O 0.886 0.886 0.886
O 0.114 0.114 0.114

=====

Record 3
A plane-wave DFT calculation with PBE+U was carried out for a relaxed structure of CoAgO2.

Calculated values
The calculation puts the raw total energy at -4.577 eV/atom. As for the symmetry: P6_3/mmc (194).

Unit cell a=3.402 b=3.402 c=11.617 alpha=90.00 beta=90.00 gamma=120.00
Site moments in Bohr magnetons follow the coordinates.
Fractional positions:
Co 0.667 0.333 0.750  2.25
O 0.333 0.667 0.401  -0.20
Co 0.333 0.667 0.250  2.25
O 0.333 0.667 0.099  -0.20
O 0.667 0.333 0.599  -0.20
Ag 0.000 0.000 0.500  -0.41
O 0.667 0.333 0.901  -0.20
Ag 0.000 0.000 0.000  -0.41